## NaScHg6 (PBE-GGA)

Data for crystalline NaScHg6 at its relaxed geometry.

Computed properties:
The crystal system is hexagonal. The value obtained for the density is 11.35 g cm⁻³. The calculation puts the total magnetization at 0.000 μB/atom. Its uncorrected energy is -11.0 eV per formula unit.

abc: 6.5321 6.5321 5.0354
angles: 90.00 90.00 120.00
Closest atoms and distances in Å follow each position.
Atoms (fractional coordinates):
1 Hg 0.3278 0.1639 0.0000  2 Sc 3.13, 8 Hg 3.16-3.32, 2 Na 3.27
2 Hg 0.8361 0.1639 0.0000  2 Sc 3.13, 8 Hg 3.16-3.32, 2 Na 3.27
3 Hg 0.8361 0.6722 0.0000  2 Sc 3.13, 8 Hg 3.16-3.32, 2 Na 3.27
4 Hg 0.0015 0.5008 0.5000  2 Na 3.14, 8 Hg 3.16-3.28, 2 Sc 3.27
5 Hg 0.4992 0.5008 0.5000  2 Na 3.14, 8 Hg 3.16-3.28, 2 Sc 3.27
6 Hg 0.4992 0.9985 0.5000  2 Na 3.14, 8 Hg 3.16-3.28, 2 Sc 3.27
7 Na 0.3333 0.6667 0.0000  12 Hg 3.14-3.27
8 Sc 0.0000 0.0000 0.5000  12 Hg 3.13-3.27


## NaScHgTe3 (PBE-GGA)

Data for crystalline NaScHgTe3 at its relaxed geometry.

Computed properties:
The crystal system is orthorhombic. The value obtained for the density is 5.82 g cm⁻³. The calculation puts the total magnetization at 0.001 μB/atom. Its uncorrected energy is -21.9 eV per formula unit.

abc: 12.0289 4.2227 14.6400
angles: 90.00 90.00 90.00
Closest atoms and distances in Å follow each position.
Atoms (fractional coordinates):
1 Hg 0.7513 0.0000 0.2242  4 Te 2.77-2.91
2 Hg 0.2513 0.0000 0.2758  4 Te 2.77-2.91
3 Hg 0.7487 0.5000 0.7242  4 Te 2.77-2.91
4 Hg 0.2487 0.5000 0.7758  4 Te 2.77-2.91
5 Na 0.8030 0.5000 0.0205  5 Te 3.28-3.56
6 Na 0.3030 0.5000 0.4795  5 Te 3.28-3.56
7 Na 0.6970 0.0000 0.5205  5 Te 3.28-3.56
8 Na 0.1970 0.0000 0.9795  5 Te 3.28-3.56
9 Sc 0.4879 0.5000 0.2291  5 Te 2.85-2.97
10 Sc 0.9879 0.5000 0.2709  5 Te 2.85-2.97
11 Sc 0.0121 0.0000 0.7291  5 Te 2.85-2.97
12 Sc 0.5121 0.0000 0.7709  5 Te 2.85-2.97
13 Te 0.5713 0.0000 0.1064  1 Hg 2.77, 2 Sc 2.95
14 Te 0.9639 0.0000 0.1298  1 Hg 2.91, 2 Sc 2.97
15 Te 0.2750 0.5000 0.1433  1 Sc 2.85, 2 Hg 2.88
16 Te 0.7750 0.5000 0.3567  1 Sc 2.85, 2 Hg 2.88
17 Te 0.4639 0.0000 0.3702  1 Hg 2.91, 2 Sc 2.97
18 Te 0.0713 0.0000 0.3936  1 Hg 2.77, 2 Sc 2.95
19 Te 0.9287 0.5000 0.6064  1 Hg 2.77, 2 Sc 2.95
20 Te 0.5361 0.5000 0.6298  1 Hg 2.91, 2 Sc 2.97
21 Te 0.2250 0.0000 0.6433  1 Sc 2.85, 2 Hg 2.88
22 Te 0.7250 0.0000 0.8567  1 Sc 2.85, 2 Hg 2.88
23 Te 0.0361 0.5000 0.8702  1 Hg 2.91, 2 Sc 2.97
24 Te 0.4287 0.5000 0.8936  1 Hg 2.77, 2 Sc 2.95


## NaScHgTe3 (PBE-GGA)

Data for crystalline NaScHgTe3 at its relaxed geometry.

Computed properties:
The crystal system is orthorhombic. The value obtained for the density is 6.00 g cm⁻³. The calculation puts the total magnetization at 0.000 μB/atom. Its uncorrected energy is -21.9 eV per formula unit.

abc: 4.2597 7.6861 11.4629
angles: 90.00 90.00 73.91
Closest atoms and distances in Å follow each position.
Atoms (fractional coordinates):
1 Hg 0.5390 0.9220 0.2500  4 Te 2.79-2.86
2 Hg 0.4610 0.0780 0.7500  4 Te 2.79-2.86
3 Na 0.2294 0.5411 0.2500  6 Te 3.41-3.48, 2 Hg 3.53
4 Na 0.7706 0.4589 0.7500  6 Te 3.41-3.48, 2 Hg 3.53
5 Sc 0.0000 0.0000 0.0000  6 Te 2.98-3.16
6 Sc 0.0000 0.0000 0.5000  6 Te 2.98-3.16
7 Te 0.6371 0.7258 0.0418  1 Hg 2.79, 2 Sc 2.98
8 Te 0.9097 0.1807 0.2500  2 Hg 2.86, 2 Sc 3.16
9 Te 0.6371 0.7258 0.4582  1 Hg 2.79, 2 Sc 2.98
10 Te 0.3629 0.2742 0.5418  1 Hg 2.79, 2 Sc 2.98
11 Te 0.0903 0.8193 0.7500  2 Hg 2.86, 2 Sc 3.16
12 Te 0.3629 0.2742 0.9582  1 Hg 2.79, 2 Sc 2.98


## Na2HgSe2 (PBE-GGA)

Data for crystalline Na2HgSe2 at its relaxed geometry.

Computed properties:
The crystal system is monoclinic. The value obtained for the density is 4.74 g cm⁻³. Its uncorrected energy is -13.6 eV per formula unit.

abc: 7.5243 7.5243 7.5365
angles: 102.77 102.77 43.09
Closest atoms and distances in Å follow each position.
Atoms (fractional coordinates):
1 Hg 0.2502 0.2502 0.2501  2 Se 2.49
2 Hg 0.7498 0.7498 0.7499  2 Se 2.49
3 Na 0.9098 0.9098 0.2040  4 Se 2.91-2.97
4 Na 0.5908 0.5908 0.2962  4 Se 2.91-2.98
5 Na 0.4092 0.4092 0.7038  4 Se 2.91-2.98
6 Na 0.0902 0.0902 0.7960  4 Se 2.91-2.97
7 Se 0.3828 0.3828 0.0816  1 Hg 2.49
8 Se 0.1176 0.1176 0.4187  1 Hg 2.49
9 Se 0.8824 0.8824 0.5813  1 Hg 2.49
10 Se 0.6172 0.6172 0.9184  1 Hg 2.49


## Na2Hg2Se3 (PBE-GGA)

Data for crystalline Na2Hg2Se3 at its relaxed geometry.

Computed properties:
The crystal system is cubic. The value obtained for the density is 6.89 g cm⁻³. Its uncorrected energy is -16.6 eV per formula unit.

abc: 7.5381 7.5381 7.5381
angles: 109.47 109.47 109.47
Closest atoms and distances in Å follow each position.
Atoms (fractional coordinates):
1 Hg 0.8637 0.5000 0.0000  6 Se 2.88-3.13
2 Hg 0.0000 0.8637 0.5000  6 Se 2.88-3.13
3 Hg 0.6363 0.6363 0.6363  6 Se 2.88-3.13
4 Hg 0.5000 0.0000 0.8637  6 Se 2.88-3.13
5 Na 0.3512 0.5000 0.0000  6 Se 2.92-3.13
6 Na 0.1488 0.1488 0.1488  6 Se 2.92-3.13
7 Na 0.5000 0.0000 0.3512  6 Se 2.92-3.13
8 Na 0.0000 0.3512 0.5000  6 Se 2.92-3.13
9 Se 0.7500 0.8704 0.1204  4 Hg 2.88-3.13, 4 Na 2.92-3.13
10 Se 0.6296 0.3796 0.2500  4 Hg 2.88-3.13, 4 Na 2.92-3.13
11 Se 0.2500 0.6296 0.3796  4 Hg 2.88-3.13, 4 Na 2.92-3.13
12 Se 0.3796 0.2500 0.6296  4 Hg 2.88-3.13, 4 Na 2.92-3.13
13 Se 0.8704 0.1204 0.7500  4 Hg 2.88-3.13, 4 Na 2.92-3.13
14 Se 0.1204 0.7500 0.8704  4 Hg 2.88-3.13, 4 Na 2.92-3.13


## Na2Hg2Se3 (PBE-GGA)

Data for crystalline Na2Hg2Se3 at its relaxed geometry.

Computed properties:
The crystal system is trigonal. The value obtained for the density is 6.52 g cm⁻³. Its uncorrected energy is -16.0 eV per formula unit.

abc: 6.8052 6.8052 6.8052
angles: 50.77 50.77 50.77
Closest atoms and distances in Å follow each position.
Atoms (fractional coordinates):
1 Hg 0.3267 0.3267 0.3267  4 Na 3.07-3.37, 3 Se 3.30, 3 Hg 3.38
2 Hg 0.6733 0.6733 0.6733  4 Na 3.07-3.37, 3 Se 3.30, 3 Hg 3.38
3 Na 0.0000 0.0000 0.0000  6 Hg 3.37, 6 Se 3.40
4 Na 0.5000 0.5000 0.5000  6 Se 2.92, 2 Hg 3.07
5 Se 0.5000 0.0000 0.0000  4 Se 2.92, 2 Na 2.92
6 Se 0.0000 0.5000 0.0000  4 Se 2.92, 2 Na 2.92
7 Se 0.0000 0.0000 0.5000  4 Se 2.92, 2 Na 2.92


## NaTmHgSe3 (PBE-GGA)

Data for crystalline NaTmHgSe3 at its relaxed geometry.

Computed properties:
The crystal system is monoclinic. The value obtained for the density is 6.54 g cm⁻³. The calculation puts the total magnetization at 0.000 μB/atom. Its uncorrected energy is -22.9 eV per formula unit.

abc: 9.2847 9.2847 8.9470
angles: 104.15 104.15 25.33
Closest atoms and distances in Å follow each position.
Atoms (fractional coordinates):
1 Hg 0.4710 0.4710 0.2736  4 Se 2.63-2.83
2 Hg 0.5290 0.5290 0.7264  4 Se 2.63-2.83
3 Na 0.1299 0.1299 0.0834  5 Se 3.06-3.28
4 Na 0.8701 0.8701 0.9166  5 Se 3.06-3.28
5 Se 0.5000 0.5000 0.0000  2 Hg 2.63
6 Se 0.3171 0.3171 0.1835  1 Hg 2.70, 2 Tm 2.84
7 Se 0.6658 0.6658 0.3674  3 Tm 2.77-2.83
8 Se 0.0000 0.0000 0.5000  4 Hg 2.83, 2 Tm 3.12
9 Se 0.3342 0.3342 0.6326  3 Tm 2.77-2.83
10 Se 0.6829 0.6829 0.8165  1 Hg 2.70, 2 Tm 2.84
11 Tm 0.8224 0.8224 0.4078  5 Se 2.77-2.84
12 Tm 0.1776 0.1776 0.5922  5 Se 2.77-2.84


## NaTmHgSe3 (PBE-GGA)

Data for crystalline NaTmHgSe3 at its relaxed geometry.

Computed properties:
The crystal system is orthorhombic. The value obtained for the density is 6.38 g cm⁻³. The calculation puts the total magnetization at 0.000 μB/atom. Its uncorrected energy is -23.1 eV per formula unit.

abc: 11.5838 4.0881 13.8466
angles: 90.00 90.00 90.00
Closest atoms and distances in Å follow each position.
Atoms (fractional coordinates):
1 Hg 0.2668 0.5000 0.2192  4 Se 2.58-2.74
2 Hg 0.7668 0.5000 0.2808  4 Se 2.58-2.74
3 Hg 0.2332 0.0000 0.7192  4 Se 2.58-2.74
4 Hg 0.7332 0.0000 0.7808  4 Se 2.58-2.74
5 Na 0.8367 0.5000 0.0044  5 Se 3.04-3.08
6 Na 0.3367 0.5000 0.4956  5 Se 3.04-3.08
7 Na 0.6633 0.0000 0.5044  5 Se 3.04-3.08
8 Na 0.1633 0.0000 0.9956  5 Se 3.04-3.08
9 Se 0.4417 0.5000 0.1037  1 Hg 2.58, 2 Tm 2.81
10 Se 0.0558 0.5000 0.1309  1 Hg 2.73, 2 Tm 2.88, 2 Na 3.04
11 Se 0.7439 0.0000 0.1506  2 Hg 2.74, 1 Tm 2.77
12 Se 0.2439 0.0000 0.3494  2 Hg 2.74, 1 Tm 2.77
13 Se 0.5558 0.5000 0.3691  1 Hg 2.73, 2 Tm 2.88, 2 Na 3.04
14 Se 0.9417 0.5000 0.3963  1 Hg 2.58, 2 Tm 2.81
15 Se 0.0583 0.0000 0.6037  1 Hg 2.58, 2 Tm 2.81
16 Se 0.4442 0.0000 0.6309  1 Hg 2.73, 2 Tm 2.88, 2 Na 3.04
17 Se 0.7561 0.5000 0.6506  2 Hg 2.74, 1 Tm 2.77
18 Se 0.2561 0.5000 0.8494  2 Hg 2.74, 1 Tm 2.77
19 Se 0.9442 0.0000 0.8691  1 Hg 2.73, 2 Tm 2.88, 2 Na 3.04
20 Se 0.5583 0.0000 0.8963  1 Hg 2.58, 2 Tm 2.81
21 Tm 0.5223 0.0000 0.2256  5 Se 2.77-2.88
22 Tm 0.0223 0.0000 0.2744  5 Se 2.77-2.88
23 Tm 0.9777 0.5000 0.7256  5 Se 2.77-2.88
24 Tm 0.4777 0.5000 0.7744  5 Se 2.77-2.88


## NaTmHgSe3 (PBE-GGA)

Data for crystalline NaTmHgSe3 at its relaxed geometry.

Computed properties:
The crystal system is orthorhombic. The value obtained for the density is 6.51 g cm⁻³. The calculation puts the total magnetization at 0.000 μB/atom. Its uncorrected energy is -23.1 eV per formula unit.

abc: 13.8399 4.1371 11.2217
angles: 90.00 90.00 90.00
Closest atoms and distances in Å follow each position.
Atoms (fractional coordinates):
1 Hg 0.5105 0.7500 0.1035  3 Se 2.63-2.70
2 Hg 0.0105 0.7500 0.3965  3 Se 2.63-2.70
3 Hg 0.9895 0.2500 0.6035  3 Se 2.63-2.70
4 Hg 0.4895 0.2500 0.8965  3 Se 2.63-2.70
5 Na 0.7391 0.2500 0.0834  4 Se 2.99-3.16
6 Na 0.2391 0.2500 0.4166  4 Se 2.99-3.16
7 Na 0.7609 0.7500 0.5834  4 Se 2.99-3.16
8 Na 0.2609 0.7500 0.9166  4 Se 2.99-3.16
9 Se 0.8950 0.7500 0.0713  3 Tm 2.78-2.84, 2 Na 2.99
10 Se 0.3860 0.2500 0.1270  3 Hg 2.70-2.96
11 Se 0.1483 0.7500 0.2355  1 Hg 2.63, 2 Tm 2.89
12 Se 0.6483 0.7500 0.2645  1 Hg 2.63, 2 Tm 2.89
13 Se 0.8860 0.2500 0.3730  3 Hg 2.70-2.96
14 Se 0.3950 0.7500 0.4287  3 Tm 2.78-2.84, 2 Na 2.99
15 Se 0.6050 0.2500 0.5713  3 Tm 2.78-2.84, 2 Na 2.99
16 Se 0.1140 0.7500 0.6270  3 Hg 2.70-2.96
17 Se 0.3517 0.2500 0.7355  1 Hg 2.63, 2 Tm 2.89
18 Se 0.8517 0.2500 0.7645  1 Hg 2.63, 2 Tm 2.89
19 Se 0.6140 0.7500 0.8730  3 Hg 2.70-2.96
20 Se 0.1050 0.2500 0.9287  3 Tm 2.78-2.84, 2 Na 2.99
21 Tm 0.0187 0.2500 0.1528  6 Se 2.78-3.08
22 Tm 0.5187 0.2500 0.3472  6 Se 2.78-3.08
23 Tm 0.4813 0.7500 0.6528  6 Se 2.78-3.08
24 Tm 0.9813 0.7500 0.8472  6 Se 2.78-3.08


## NaTmHgSe3 (PBE-GGA)

Data for crystalline NaTmHgSe3 at its relaxed geometry.

Computed properties:
The crystal system is orthorhombic. The value obtained for the density is 6.62 g cm⁻³. The calculation puts the total magnetization at 0.001 μB/atom. Its uncorrected energy is -23.1 eV per formula unit.

abc: 11.0607 4.1175 13.8661
angles: 90.00 90.00 90.00
Closest atoms and distances in Å follow each position.
Atoms (fractional coordinates):
1 Hg 0.7383 0.7500 0.2122  4 Se 2.60-2.71
2 Hg 0.2383 0.7500 0.2878  4 Se 2.60-2.71
3 Hg 0.7617 0.2500 0.7122  4 Se 2.60-2.71
4 Hg 0.2617 0.2500 0.7878  4 Se 2.60-2.71
5 Na 0.7189 0.2500 0.0062  7 Se 3.14-3.42
6 Na 0.2189 0.2500 0.4938  7 Se 3.14-3.42
7 Na 0.7811 0.7500 0.5062  7 Se 3.14-3.42
8 Na 0.2811 0.7500 0.9938  7 Se 3.14-3.42
9 Se 0.9319 0.7500 0.1057  1 Hg 2.60, 2 Tm 2.86
10 Se 0.5312 0.7500 0.1184  1 Hg 2.63, 2 Tm 2.87
11 Se 0.2326 0.2500 0.1605  2 Hg 2.71, 1 Tm 2.94
12 Se 0.7326 0.2500 0.3395  2 Hg 2.71, 1 Tm 2.94
13 Se 0.0312 0.7500 0.3816  1 Hg 2.63, 2 Tm 2.87
14 Se 0.4319 0.7500 0.3943  1 Hg 2.60, 2 Tm 2.86
15 Se 0.5681 0.2500 0.6058  1 Hg 2.60, 2 Tm 2.86
16 Se 0.9688 0.2500 0.6184  1 Hg 2.63, 2 Tm 2.87
17 Se 0.2674 0.7500 0.6605  2 Hg 2.71, 1 Tm 2.94
18 Se 0.7674 0.7500 0.8395  2 Hg 2.71, 1 Tm 2.94
19 Se 0.4688 0.2500 0.8816  1 Hg 2.63, 2 Tm 2.87
20 Se 0.0681 0.2500 0.8943  1 Hg 2.60, 2 Tm 2.86
21 Tm 0.9873 0.2500 0.2419  6 Se 2.86-3.13
22 Tm 0.4873 0.2500 0.2581  6 Se 2.86-3.13
23 Tm 0.5127 0.7500 0.7419  6 Se 2.86-3.13
24 Tm 0.0127 0.7500 0.7581  6 Se 2.86-3.13


## NaTmHgSe3 (PBE-GGA)

Data for crystalline NaTmHgSe3 at its relaxed geometry.

Computed properties:
The crystal system is orthorhombic. The value obtained for the density is 6.97 g cm⁻³. The calculation puts the total magnetization at 0.000 μB/atom. Its uncorrected energy is -22.7 eV per formula unit.

abc: 8.2254 4.2083 17.3304
angles: 90.00 90.00 90.00
Closest atoms and distances in Å follow each position.
Atoms (fractional coordinates):
1 Hg 0.9479 0.2500 0.1668  4 Se 2.61-2.87
2 Hg 0.4479 0.2500 0.3332  4 Se 2.61-2.87
3 Hg 0.5521 0.7500 0.6668  4 Se 2.61-2.87
4 Hg 0.0521 0.7500 0.8332  4 Se 2.61-2.87
5 Na 0.5785 0.7500 0.1922  6 Se 3.12-3.26, 2 Hg 3.40
6 Na 0.0785 0.7500 0.3078  6 Se 3.12-3.26, 2 Hg 3.40
7 Na 0.9215 0.2500 0.6922  6 Se 3.12-3.26, 2 Hg 3.40
8 Na 0.4215 0.2500 0.8078  6 Se 3.12-3.26, 2 Hg 3.40
9 Se 0.6241 0.2500 0.0608  3 Tm 2.82-2.89, 2 Na 3.12
10 Se 0.0104 0.7500 0.0716  2 Hg 2.72, 1 Tm 3.01
11 Se 0.2878 0.2500 0.2036  2 Hg 2.61-2.87, 1 Tm 2.90
12 Se 0.7878 0.2500 0.2964  2 Hg 2.61-2.87, 1 Tm 2.90
13 Se 0.5104 0.7500 0.4284  2 Hg 2.72, 1 Tm 3.01
14 Se 0.1241 0.2500 0.4392  3 Tm 2.82-2.89, 2 Na 3.12
15 Se 0.8759 0.7500 0.5608  3 Tm 2.82-2.89, 2 Na 3.12
16 Se 0.4896 0.2500 0.5716  2 Hg 2.72, 1 Tm 3.01
17 Se 0.2122 0.7500 0.7036  2 Hg 2.61-2.87, 1 Tm 2.90
18 Se 0.7122 0.7500 0.7964  2 Hg 2.61-2.87, 1 Tm 2.90
19 Se 0.9896 0.2500 0.9284  2 Hg 2.72, 1 Tm 3.01
20 Se 0.3759 0.7500 0.9392  3 Tm 2.82-2.89, 2 Na 3.12
21 Tm 0.2764 0.2500 0.0365  7 Se 2.82-3.10
22 Tm 0.7764 0.2500 0.4635  7 Se 2.82-3.10
23 Tm 0.2236 0.7500 0.5365  7 Se 2.82-3.10
24 Tm 0.7236 0.7500 0.9635  7 Se 2.82-3.10


## NaTmHgSe3 (PBE-GGA)

Data for crystalline NaTmHgSe3 at its relaxed geometry.

Computed properties:
The crystal system is monoclinic. The value obtained for the density is 6.38 g cm⁻³. The calculation puts the total magnetization at 0.001 μB/atom. Its uncorrected energy is -23.1 eV per formula unit.

abc: 8.1769 4.1421 10.0114
angles: 90.00 105.04 90.00
Closest atoms and distances in Å follow each position.
Atoms (fractional coordinates):
1 Hg 0.4032 0.7500 0.3956  3 Se 2.64-2.68
2 Hg 0.5968 0.2500 0.6044  3 Se 2.64-2.68
3 Na 0.6961 0.2500 0.2066  5 Se 3.01-3.29
4 Na 0.3039 0.7500 0.7934  5 Se 3.01-3.29
5 Se 0.4114 0.7500 0.1340  1 Hg 2.64, 2 Tm 2.89
6 Se 0.9343 0.7500 0.1459  3 Tm 2.81-2.82, 2 Na 3.01
7 Se 0.2286 0.2500 0.4582  3 Hg 2.68-2.99
8 Se 0.7714 0.7500 0.5418  3 Hg 2.68-2.99
9 Se 0.0657 0.2500 0.8541  3 Tm 2.81-2.82, 2 Na 3.01
10 Se 0.5886 0.2500 0.8660  1 Hg 2.64, 2 Tm 2.89
11 Tm 0.1682 0.2500 0.1451  6 Se 2.81-3.04
12 Tm 0.8318 0.7500 0.8549  6 Se 2.81-3.04